(1)
A relaxed AcGa2Ru3 crystal, computed with GGA-PBE.

Structure (POSCAR):
```
AcGa2Ru3
1.0
8.032 -2.077 0.000
8.032 2.077 0.000
-3.508 0.000 6.936
Ac Ga Ru
2 4 6
Direct
0.143 0.143 0.057 Ac
0.857 0.857 0.943 Ac
0.190 0.190 0.686 Ga
0.474 0.474 0.805 Ga
0.526 0.526 0.195 Ga
0.810 0.810 0.314 Ga
0.039 0.039 0.391 Ru
0.302 0.302 0.527 Ru
0.416 0.416 0.361 Ru
0.584 0.584 0.639 Ru
0.698 0.698 0.473 Ru
0.961 0.961 0.609 Ru
```

Energy of formation from the pure elements, eV/atom: -0.2792
Density of states at the Fermi level, states/eV per atom: 0.83
Volume, Å³/f.u.: 116

=====

(2)
A relaxed Tb3CN2 crystal, computed with GGA-PBE.

Structure (POSCAR):
```
Tb3CN2
1.0
-1.759 2.497 5.346
1.759 -2.497 5.346
1.759 2.497 -5.346
Tb C N
3 1 2
Direct
0.000 0.000 0.000 Tb
0.327 0.327 0.000 Tb
0.673 0.673 0.000 Tb
0.500 0.000 0.500 C
0.168 0.668 0.500 N
0.832 0.332 0.500 N
```

Density of states at the Fermi level, states/eV per atom: 0.42
Volume, Å³/f.u.: 94
Formation energy from raw total energies, eV/atom: -1.06

=====

(3)
A relaxed Th4C2Se3 crystal, computed with GGA-PBE.

Structure (POSCAR):
```
Th4C2Se3
1.0
6.613 -5.099 0.000
6.613 5.099 0.000
-0.164 0.000 6.568
Th C Se
8 4 6
Direct
0.059 0.694 0.533 Th
0.258 0.417 0.066 Th
0.306 0.941 0.967 Th
0.417 0.258 0.566 Th
0.583 0.742 0.434 Th
0.694 0.059 0.033 Th
0.742 0.583 0.934 Th
0.941 0.306 0.467 Th
0.168 0.418 0.407 C
0.418 0.168 0.907 C
0.582 0.832 0.093 C
0.832 0.582 0.593 C
0.013 0.761 0.028 Se
0.239 0.987 0.472 Se
0.400 0.600 0.750 Se
0.600 0.400 0.250 Se
0.761 0.013 0.528 Se
0.987 0.239 0.972 Se
```

Density of states at the Fermi level, states/eV per atom: 0.47
Volume, Å³/f.u.: 221
Formation energy from raw total energies, eV/atom: -1.13

=====

(4)
A relaxed NpTeN crystal, computed with GGA-PBE.

Structure (POSCAR):
```
NpTeN
1.0
3.881 0.000 0.000
0.000 3.881 0.000
0.000 0.000 7.869
Np Te N
2 2 2
Direct
0.250 0.250 0.143 Np
0.750 0.750 0.857 Np
0.250 0.250 0.641 Te
0.750 0.750 0.359 Te
0.250 0.750 0.000 N
0.750 0.250 0.000 N
```

Density of states at the Fermi level, states/eV per atom: 2.50
Relative energy among the computed polymorphs, kJ/mol of atoms: 0.0
Volume, Å³/f.u.: 59
Formation energy from raw total energies, eV/atom: -1.00

=====

(5)
A relaxed Ce2HoPt crystal, computed with GGA-PBE.

Structure (POSCAR):
```
Ce2HoPt
1.0
3.755 0.000 0.000
0.000 3.755 0.000
0.000 0.000 7.524
Ce Ho Pt
2 1 1
Direct
0.000 0.000 0.197 Ce
0.000 0.000 0.803 Ce
0.500 0.500 0.500 Ho
0.500 0.500 0.000 Pt
```

Energy of formation from the pure elements, eV/atom: -0.4345
Density of states at the Fermi level, states/eV per atom: 2.40
Relative energy among the computed polymorphs, kJ/mol of atoms: 0.0
Volume, Å³/f.u.: 106

=====

(6)
A relaxed CsSrAuSe2 crystal, computed with GGA-PBE.

Structure (POSCAR):
```
CsSrAuSe2
1.0
4.146 -8.292 0.000
4.146 8.292 0.000
0.000 0.000 5.685
Cs Sr Au Se
2 2 2 4
Direct
0.250 0.750 0.777 Cs
0.750 0.250 0.223 Cs
0.250 0.250 0.500 Sr
0.750 0.750 0.500 Sr
0.000 0.000 0.000 Au
0.500 0.500 0.000 Au
0.114 0.886 0.277 Se
0.386 0.614 0.277 Se
0.614 0.386 0.723 Se
0.886 0.114 0.723 Se
```

Density of states at the Fermi level, states/eV per atom: 0.00
Relative energy among the computed polymorphs, kJ/mol of atoms: 0.0
Volume, Å³/f.u.: 195
Formation energy from raw total energies, eV/atom: -1.21

=====

(7)
A relaxed AsC3 crystal, computed with GGA-PBE.

Structure (POSCAR):
```
AsC3
1.0
1.338 0.773 5.877
-1.338 0.773 5.877
0.000 -1.545 5.877
As C
1 3
Direct
0.000 0.000 0.000 As
0.215 0.215 0.215 C
0.500 0.500 0.500 C
0.785 0.785 0.785 C
```

Energy of formation from the pure elements, eV/atom: 2.3607
Density of states at the Fermi level, states/eV per atom: 0.25
Relative energy among the computed polymorphs, kJ/mol of atoms: 154.2
Volume, Å³/f.u.: 36

=====

(8)
A relaxed Nb2NiPd crystal, computed with GGA-PBE.

Structure (POSCAR):
```
Nb2NiPd
1.0
2.800 0.000 0.000
0.000 2.800 0.000
0.000 0.000 7.904
Nb Ni Pd
2 1 1
Direct
0.000 0.000 0.235 Nb
0.000 0.000 0.765 Nb
0.500 0.500 0.000 Ni
0.500 0.500 0.500 Pd
```

Energy of formation from the pure elements, eV/atom: -0.2392
Density of states at the Fermi level, states/eV per atom: 0.89
Relative energy among the computed polymorphs, kJ/mol of atoms: 0.0
Volume, Å³/f.u.: 62

=====

(9)
A relaxed Sr2Tl3BiO8 crystal, computed with GGA-PBE.

Structure (POSCAR):
```
Sr2Tl3BiO8
1.0
3.479 2.009 5.916
-3.479 2.009 5.916
0.000 -4.017 5.916
Sr Tl Bi O
2 3 1 8
Direct
0.000 0.000 0.000 Sr
0.379 0.379 0.379 Sr
0.376 0.376 0.888 Tl
0.376 0.888 0.376 Tl
0.888 0.376 0.376 Tl
0.757 0.757 0.757 Bi
0.133 0.133 0.586 O
0.133 0.586 0.133 O
0.139 0.635 0.635 O
0.141 0.141 0.141 O
0.586 0.133 0.133 O
0.606 0.606 0.606 O
0.635 0.139 0.635 O
0.635 0.635 0.139 O
```

Volume, Å³/f.u.: 248
Formation energy from raw total energies, eV/atom: -1.37

=====

(10)
A relaxed LiGe2Bi2 crystal, computed with GGA-PBE.

Structure (POSCAR):
```
LiGe2Bi2
1.0
8.088 0.000 0.000
0.000 8.088 0.000
0.000 0.000 3.931
Li Ge Bi
2 4 4
Direct
0.000 0.000 0.000 Li
0.500 0.500 0.000 Li
0.123 0.377 0.000 Ge
0.377 0.877 0.000 Ge
0.623 0.123 0.000 Ge
0.877 0.623 0.000 Ge
0.170 0.670 0.500 Bi
0.330 0.170 0.500 Bi
0.670 0.830 0.500 Bi
0.830 0.330 0.500 Bi
```

Energy of formation from the pure elements, eV/atom: 0.1013
Density of states at the Fermi level, states/eV per atom: 0.44
Relative energy among the computed polymorphs, kJ/mol of atoms: 5.7
Volume, Å³/f.u.: 129

=====

(11)
A relaxed K3BeB2O6 crystal, computed with GGA-PBE.

Structure (POSCAR):
```
K3BeB2O6
1.0
5.218 0.000 0.000
-2.609 4.519 0.000
0.000 0.000 6.552
K Be B O
3 1 2 6
Direct
0.000 0.000 0.000 K
0.333 0.667 0.752 K
0.667 0.333 0.248 K
0.000 0.000 0.500 Be
0.333 0.667 0.329 B
0.667 0.333 0.671 B
0.180 0.359 0.326 O
0.180 0.820 0.326 O
0.359 0.180 0.674 O
0.641 0.820 0.326 O
0.820 0.180 0.674 O
0.820 0.641 0.674 O
```

Density of states at the Fermi level, states/eV per atom: 0.48
Volume, Å³/f.u.: 155
Formation energy from raw total energies, eV/atom: -1.88

=====

> What is the volume in the eighth record?

62 Å³/f.u.

=====

> Among the records above, which one has the lowest volume?

AsC3

=====

> volume of number 7 (AsC3)?

36 Å³/f.u.

=====

Repeat the eighth record exactly.
A relaxed Nb2NiPd crystal, computed with GGA-PBE.

Structure (POSCAR):
```
Nb2NiPd
1.0
2.800 0.000 0.000
0.000 2.800 0.000
0.000 0.000 7.904
Nb Ni Pd
2 1 1
Direct
0.000 0.000 0.235 Nb
0.000 0.000 0.765 Nb
0.500 0.500 0.000 Ni
0.500 0.500 0.500 Pd
```

Energy of formation from the pure elements, eV/atom: -0.2392
Density of states at the Fermi level, states/eV per atom: 0.89
Relative energy among the computed polymorphs, kJ/mol of atoms: 0.0
Volume, Å³/f.u.: 62